[1]
This record from Alexandria describes an optimized crystal structure of LiRh2Au. The functional is PBE-GGA. Values from VASP.

Calculated values
Final energy, eV per atom: -5.065
Total magnetization, μB/f.u.: 0.00
Polymorph energy (0 for the lowest one), meV per atom: 9
Space-group type: Cm, No. 8

Cell and atoms, written as Quantum ESPRESSO input:
```
&SYSTEM
  ibrav = 0, nat = 8, ntyp = 3
/
ATOMIC_SPECIES
Li 6.94 Li.upf
Rh 102.91 Rh.upf
Au 196.97 Au.upf
ATOMIC_POSITIONS angstrom
Li 0.000 0.000 0.000
Li 4.505 1.381 0.000
Rh -0.398 1.381 2.500
Rh 1.664 0.000 3.292
Rh 4.107 0.000 2.500
Rh 6.168 1.381 3.292
Au 2.118 1.381 0.912
Au 6.623 0.000 0.912
CELL_PARAMETERS angstrom
9.009 0.000 0.000
0.000 2.762 0.000
-0.766 0.000 4.783
```

=====

[2]
This record from Alexandria describes an optimized crystal structure of LiRh2Au. The functional is PBE-GGA. Values from VASP.

Calculated values
Final energy, eV per atom: -4.853
Total magnetization, μB/f.u.: 1.13
Polymorph energy (0 for the lowest one), meV per atom: 222
Space-group type: Cmmm, No. 65

Cell and atoms, written as Quantum ESPRESSO input:
```
&SYSTEM
  ibrav = 0, nat = 8, ntyp = 3
/
ATOMIC_SPECIES
Li 6.94 Li.upf
Rh 102.91 Rh.upf
Au 196.97 Au.upf
ATOMIC_POSITIONS angstrom
Li 0.000 0.000 0.000
Li 1.402 2.333 0.000
Rh 0.000 2.333 2.184
Rh 0.000 2.333 7.113
Rh 1.402 0.000 2.184
Rh 1.402 0.000 7.113
Au 0.000 0.000 4.649
Au 1.402 2.333 4.649
CELL_PARAMETERS angstrom
2.803 0.000 0.000
0.000 4.666 0.000
0.000 0.000 9.297
```

=====

[3]
This record from Alexandria describes an optimized crystal structure of LiRh2Au. The functional is PBE-GGA. Values from VASP.

Calculated values
Final energy, eV per atom: -4.941
Total magnetization, μB/f.u.: 0.00
Polymorph energy (0 for the lowest one), meV per atom: 133
Space-group type: Cmm2, No. 35

Cell and atoms, written as Quantum ESPRESSO input:
```
&SYSTEM
  ibrav = 0, nat = 8, ntyp = 3
/
ATOMIC_SPECIES
Li 6.94 Li.upf
Rh 102.91 Rh.upf
Au 196.97 Au.upf
ATOMIC_POSITIONS angstrom
Li 0.000 0.000 0.000
Li 1.387 2.363 0.000
Rh 0.000 0.000 4.426
Rh 0.000 2.363 2.179
Rh 1.387 0.000 2.179
Rh 1.387 2.363 4.426
Au 0.000 2.363 6.962
Au 1.387 0.000 6.962
CELL_PARAMETERS angstrom
2.775 0.000 0.000
0.000 4.726 0.000
0.000 0.000 9.242
```

=====

[4]
This record from Alexandria describes an optimized crystal structure of LiRh2Au2. The functional is PBE-GGA. Values from VASP.

Calculated values
Final energy, eV per atom: -4.527
Total magnetization, μB/f.u.: 0.18
Polymorph energy (0 for the lowest one), meV per atom: 0
Space-group type: P4/mbm, No. 127

Cell and atoms, written as Quantum ESPRESSO input:
```
&SYSTEM
  ibrav = 0, nat = 10, ntyp = 3
/
ATOMIC_SPECIES
Li 6.94 Li.upf
Rh 102.91 Rh.upf
Au 196.97 Au.upf
ATOMIC_POSITIONS angstrom
Li 0.000 0.000 0.000
Li 3.963 3.963 0.000
Rh 0.921 3.043 0.000
Rh 3.043 7.006 0.000
Rh 4.884 0.921 0.000
Rh 7.006 4.884 0.000
Au 1.443 5.407 1.395
Au 2.520 1.443 1.395
Au 5.407 6.483 1.395
Au 6.483 2.520 1.395
CELL_PARAMETERS angstrom
7.927 0.000 0.000
0.000 7.927 0.000
0.000 0.000 2.790
```

=====

[5]
This record from Alexandria describes an optimized crystal structure of Li6RhAu. The functional is PBE-GGA. Values from VASP.

Calculated values
Final energy, eV per atom: -2.971
Total magnetization, μB/f.u.: 0.00
Polymorph energy (0 for the lowest one), meV per atom: 9
Space-group type: P-1, No. 2

Cell and atoms, written as Quantum ESPRESSO input:
```
&SYSTEM
  ibrav = 0, nat = 8, ntyp = 3
/
ATOMIC_SPECIES
Li 6.94 Li.upf
Rh 102.91 Rh.upf
Au 196.97 Au.upf
ATOMIC_POSITIONS angstrom
Li -0.003 -0.006 1.208
Li 4.880 4.858 3.715
Li 1.193 2.426 2.476
Li 2.450 1.248 0.004
Li 2.426 3.604 4.920
Li 3.684 2.426 2.448
Rh -0.002 2.453 0.000
Au 2.440 -0.027 2.462
CELL_PARAMETERS angstrom
4.898 0.000 0.000
-0.004 4.906 0.000
-0.018 -0.054 4.924
```

=====

[6]
This record from Alexandria describes an optimized crystal structure of LiRh2Au. The functional is PBE-GGA. Values from VASP.

Calculated values
Final energy, eV per atom: -4.990
Total magnetization, μB/f.u.: 0.00
Polymorph energy (0 for the lowest one), meV per atom: 84
Space-group type: I4/mmm, No. 139

Cell and atoms, written as Quantum ESPRESSO input:
```
&SYSTEM
  ibrav = 0, nat = 8, ntyp = 3
/
ATOMIC_SPECIES
Li 6.94 Li.upf
Rh 102.91 Rh.upf
Au 196.97 Au.upf
ATOMIC_POSITIONS angstrom
Li 0.000 0.000 0.000
Li 1.899 1.899 4.056
Rh 0.000 1.899 2.028
Rh 0.000 1.899 6.084
Rh 1.899 0.000 2.028
Rh 1.899 0.000 6.084
Au 0.000 0.000 4.056
Au 1.899 1.899 0.000
CELL_PARAMETERS angstrom
3.798 0.000 0.000
0.000 3.798 0.000
0.000 0.000 8.112
```

=====

[7]
This record from Alexandria describes an optimized crystal structure of Li7RhAu2. The functional is PBE-GGA. Values from VASP.

Calculated values
Final energy, eV per atom: -2.467
Total magnetization, μB/f.u.: 0.00
Space-group type: Fm-3m, No. 225

Cell and atoms, written as Quantum ESPRESSO input:
```
&SYSTEM
  ibrav = 0, nat = 10, ntyp = 3
/
ATOMIC_SPECIES
Li 6.94 Li.upf
Rh 102.91 Rh.upf
Au 196.97 Au.upf
ATOMIC_POSITIONS angstrom
Li 0.000 0.000 0.000
Li 4.572 4.572 2.340
Li 4.572 2.340 4.572
Li 6.805 4.572 4.572
Li 2.340 4.572 4.572
Li 4.572 6.805 4.572
Li 4.572 4.572 6.805
Rh 4.572 4.572 4.572
Au 2.286 2.286 2.286
Au 6.859 6.859 6.859
CELL_PARAMETERS angstrom
0.000 4.572 4.572
4.572 0.000 4.572
4.572 4.572 0.000
```

=====

[8]
This record from Alexandria describes an optimized crystal structure of LiRh2Au. The functional is PBE-GGA. Values from VASP.

Calculated values
Final energy, eV per atom: -5.036
Total magnetization, μB/f.u.: 0.94
Polymorph energy (0 for the lowest one), meV per atom: 39
Space-group type: Pmmm, No. 47

Cell and atoms, written as Quantum ESPRESSO input:
```
&SYSTEM
  ibrav = 0, nat = 4, ntyp = 3
/
ATOMIC_SPECIES
Li 6.94 Li.upf
Rh 102.91 Rh.upf
Au 196.97 Au.upf
ATOMIC_POSITIONS angstrom
Li 0.000 0.000 0.000
Rh 0.000 2.272 2.363
Rh 1.391 0.000 2.363
Au 1.391 2.272 0.000
CELL_PARAMETERS angstrom
2.782 0.000 0.000
0.000 4.543 0.000
0.000 0.000 4.725
```

=====

What did the fourth record say?
This record from Alexandria describes an optimized crystal structure of LiRh2Au2. The functional is PBE-GGA. Values from VASP.

Calculated values
Final energy, eV per atom: -4.527
Total magnetization, μB/f.u.: 0.18
Polymorph energy (0 for the lowest one), meV per atom: 0
Space-group type: P4/mbm, No. 127

Cell and atoms, written as Quantum ESPRESSO input:
```
&SYSTEM
  ibrav = 0, nat = 10, ntyp = 3
/
ATOMIC_SPECIES
Li 6.94 Li.upf
Rh 102.91 Rh.upf
Au 196.97 Au.upf
ATOMIC_POSITIONS angstrom
Li 0.000 0.000 0.000
Li 3.963 3.963 0.000
Rh 0.921 3.043 0.000
Rh 3.043 7.006 0.000
Rh 4.884 0.921 0.000
Rh 7.006 4.884 0.000
Au 1.443 5.407 1.395
Au 2.520 1.443 1.395
Au 5.407 6.483 1.395
Au 6.483 2.520 1.395
CELL_PARAMETERS angstrom
7.927 0.000 0.000
0.000 7.927 0.000
0.000 0.000 2.790
```

=====

> Which of these has the highest final energy?

Li7RhAu2

=====

> Among the records above, which one has the highest total magnetization?

number 2

=====

> Which value of final energy does entry 3 give?

-4.941 eV per atom